# 1
TaAlP2O: PBEsol geometry, meta-GGA SCAN.

Cell lengths 3.3045, 4.7580, 4.7580 Å; angles 90.00, 90.00, 90.00 degrees
Last column: nearest neighbours and their distance in Å.
Element x y z (fractional)
P (0.0000, 0.0000, 0.5000)  2 Al 2.38
P (0.0000, 0.5000, 0.0000)  2 Al 2.38
Al (0.0000, 0.0000, 0.0000)  2 O 1.65
O (0.5000, 0.0000, 0.0000)  2 Al 1.65
Ta (0.5000, 0.5000, 0.5000)  8 P 2.90

Properties
Final energy: -20.42 eV/atom
Magnetization: 0.000 μB per formula unit
ρ: 6.35 Mg/m³

# 2
Si2NiAg: PBEsol geometry, meta-GGA SCAN.

Cell lengths 3.8062, 3.8062, 4.5981 Å; angles 114.45, 114.45, 90.00 degrees
Last column: nearest neighbours and their distance in Å.
Element x y z (fractional)
Ag (0.5000, 0.5000, 0.0000)  8 Si 2.66, 4 Ni 2.69
Ni (0.0000, 0.0000, 0.0000)  8 Si 2.66, 4 Ag 2.69
Si (0.7500, 0.2500, 0.5000)  4 Ag 2.66, 4 Ni 2.66, 4 Si 2.69
Si (0.2500, 0.7500, 0.5000)  4 Ni 2.66, 4 Ag 2.66, 4 Si 2.69

Properties
Magnetization: 0.000 μB per formula unit
ΔE to the lowest computed polymorph: 0.173 eV/atom
ρ: 6.85 Mg/m³

# 3
MnAlTc2: PBEsol geometry, meta-GGA SCAN.

Cell lengths 3.0112, 4.1624, 4.8695 Å; angles 115.30, 108.01, 90.00 degrees
Last column: nearest neighbours and their distance in Å.
Element x y z (fractional)
Mn (0.0000, 0.5000, 0.0000)  4 Tc 2.52, 4 Al 2.57
Tc (0.7439, 0.7439, 0.4877)  2 Mn 2.52, 4 Tc 2.57, 2 Al 2.60
Tc (0.2561, 0.2561, 0.5123)  2 Mn 2.52, 4 Tc 2.57, 2 Al 2.60
Al (0.5000, 0.0000, 0.0000)  4 Mn 2.57, 4 Tc 2.60

Properties
Magnetization: 0.001 μB per formula unit
ρ: 8.90 Mg/m³
ΔH_f (0 K): -0.89 eV per formula unit